# RbAlRh3

A relaxed RbAlRh3 crystal (GGA-PBE, Alexandria).

Unit cell a=4.8299 b=4.8299 c=4.8299 alpha=90.00 beta=90.00 gamma=90.00
Space group Pm-3m (No. 221)
Unique sites:
Rb (0.0000, 0.0000, 0.0000) (multiplicity 1)
Al (0.5000, 0.5000, 0.5000) (multiplicity 1)
Rh (0.0000, 0.0000, 0.5000) (multiplicity 3)

Properties
formation energy	2.182	eV per atom
total energy	-3.171	eV per atom
crystal system	cubic

# PrAlZnNi

A relaxed PrAlZnNi crystal (GGA-PBE, Alexandria).

Unit cell a=4.2702 b=4.2702 c=15.0741 alpha=90.00 beta=90.00 gamma=120.00
Space group R3m (No. 160, hexagonal axes)
Unique sites:
Pr (0.0000, 0.0000, 0.0000) (multiplicity 3)
Al (0.0000, 0.0000, 0.4797) (multiplicity 3)
Zn (0.0000, 0.0000, 0.2029) (multiplicity 3)
Ni (0.0000, 0.0000, 0.8085) (multiplicity 3)

Properties
formation energy	-0.407	eV per atom
total energy	-4.301	eV per atom
crystal system	trigonal